The following is a DFT calculation (PBE-GGA) of Zn2InHg after structural relaxation.

Results
Energy of formation from the pure elements ... 0.11 eV per atom
Crystal system ... trigonal
Final energy ... -5.163 eV/cell
Excess energy over the best structure of this formula in the dataset ... 19 meV/atom

Unit cell a=8.753 b=8.753 c=8.753 alpha=22.25 beta=22.25 gamma=22.25
Positions (direct):
Zn 0.503 0.503 0.503
Zn 0.997 0.997 0.997
In 0.750 0.750 0.750
Hg 0.250 0.250 0.250



The following is a DFT calculation (PBE-GGA) of ZnIn2Hg2 after structural relaxation.

Results
Energy of formation from the pure elements ... 0.21 eV per atom
Crystal system ... tetragonal
Final energy ... -6.309 eV/cell
Excess energy over the best structure of this formula in the dataset ... 139 meV/atom

Unit cell a=4.367 b=4.367 c=7.935 alpha=74.03 beta=74.03 gamma=90.00
Positions (direct):
Hg 0.404 0.404 0.192
In 0.250 0.750 0.500
Hg 0.596 0.596 0.808
In 0.750 0.250 0.500
Zn 0.000 0.000 0.000



The following is a DFT calculation (PBE-GGA) of ZnIn5Hg after structural relaxation.

Results
Energy of formation from the pure elements ... 0.05 eV per atom
Crystal system ... tetragonal
Final energy ... -14.946 eV/cell

Unit cell a=4.621 b=4.621 c=8.482 alpha=90.00 beta=90.00 gamma=90.00
Positions (direct):
In 0.000 0.500 0.292
Zn 0.000 0.000 0.500
Hg 0.000 0.000 0.000
In 0.500 0.500 0.000
In 0.000 0.500 0.708
In 0.500 0.000 0.708
In 0.500 0.000 0.292



The following is a DFT calculation (PBE-GGA) of ZnIn4Hg3 after structural relaxation.

Results
Energy of formation from the pure elements ... 0.05 eV per atom
Crystal system ... tetragonal
Final energy ... -25.484 eV/cell

Unit cell a=5.928 b=8.820 c=8.820 alpha=83.52 beta=70.37 gamma=70.37
Positions (direct):
In 0.914 0.862 0.311
In 0.775 0.311 0.138
Hg 0.852 0.500 0.796
In 0.275 0.138 0.311
Hg 0.648 0.204 0.500
Hg 0.250 0.000 0.000
In 0.086 0.138 0.689
In 0.725 0.862 0.689
In 0.225 0.689 0.862
Hg 0.352 0.796 0.500
In 0.586 0.689 0.138
In 0.414 0.311 0.862
Zn 0.250 0.500 0.500
Hg 0.148 0.500 0.204
Hg 0.750 0.000 0.000
Zn 0.750 0.500 0.500



The following is a DFT calculation (PBE-GGA) of ZnInHg2 after structural relaxation.

Results
Energy of formation from the pure elements ... 0.07 eV per atom
Crystal system ... trigonal
Final energy ... -4.328 eV/cell

Unit cell a=9.162 b=9.162 c=9.162 alpha=22.09 beta=22.09 gamma=22.09
Positions (direct):
Hg 0.252 0.252 0.252
Zn 0.747 0.747 0.747
Hg 0.007 0.007 0.007
In 0.494 0.494 0.494



The following is a DFT calculation (PBE-GGA) of ZnInHg2 after structural relaxation.

Results
Energy of formation from the pure elements ... 0.08 eV per atom
Crystal system ... monoclinic
Final energy ... -4.289 eV/cell

Unit cell a=4.414 b=3.850 c=6.032 alpha=69.68 beta=90.00 gamma=90.00
Positions (direct):
Hg 0.000 0.820 0.019
In 0.000 0.529 0.559
Zn 0.500 0.930 0.711
Hg 0.500 0.220 0.212



The following is a DFT calculation (PBE-GGA) of ZnIn2Hg after structural relaxation.

Results
Energy of formation from the pure elements ... 0.09 eV per atom
Crystal system ... tetragonal
Final energy ... -6.695 eV/cell
Excess energy over the best structure of this formula in the dataset ... 36 meV/atom

Unit cell a=3.855 b=3.855 c=6.554 alpha=90.00 beta=90.00 gamma=90.00
Positions (direct):
Hg 0.500 0.500 0.735
In 0.500 0.500 0.272
Zn 0.000 0.000 0.503
In 0.000 0.000 0.990



The following is a DFT calculation (PBE-GGA) of ZnIn6Hg12 after structural relaxation.

Results
Energy of formation from the pure elements ... 0.05 eV per atom
Crystal system ... trigonal
Final energy ... -20.408 eV/cell
Excess energy over the best structure of this formula in the dataset ... 22 meV/atom

Unit cell a=8.086 b=8.086 c=8.086 alpha=86.42 beta=86.42 gamma=86.42
Positions (direct):
Hg 0.356 0.153 0.030
Hg 0.532 0.195 0.520
Hg 0.480 0.468 0.805
In 0.690 0.186 0.171
Zn 0.000 0.000 0.000
Hg 0.805 0.480 0.468
In 0.186 0.171 0.690
Hg 0.153 0.030 0.356
In 0.814 0.829 0.310
Hg 0.644 0.847 0.970
Hg 0.030 0.356 0.153
In 0.829 0.310 0.814
Hg 0.847 0.970 0.644
In 0.171 0.690 0.186
Hg 0.970 0.644 0.847
In 0.310 0.814 0.829
Hg 0.195 0.520 0.532
Hg 0.468 0.805 0.480
Hg 0.520 0.532 0.195



The following is a DFT calculation (PBE-GGA) of ZnInHg3 after structural relaxation.

Results
Energy of formation from the pure elements ... 0.15 eV per atom
Crystal system ... cubic
Final energy ... -4.172 eV/cell
Excess energy over the best structure of this formula in the dataset ... 99 meV/atom

Unit cell a=5.250 b=5.250 c=5.250 alpha=90.00 beta=90.00 gamma=90.00
Positions (direct):
Hg 0.500 0.000 0.000
Hg 0.000 0.500 0.000
In 0.500 0.500 0.500
Zn 0.000 0.000 0.000
Hg 0.000 0.000 0.500



The following is a DFT calculation (PBE-GGA) of ZnIn12Hg3 after structural relaxation.

Results
Energy of formation from the pure elements ... 0.03 eV per atom
Crystal system ... tetragonal
Final energy ... -34.619 eV/cell

Unit cell a=4.726 b=4.726 c=18.519 alpha=90.00 beta=90.00 gamma=90.00
Positions (direct):
In 0.500 0.000 0.373
Hg 0.000 0.000 0.754
In 0.500 0.000 0.627
In 0.500 0.500 0.245
Zn 0.000 0.000 0.000
In 0.500 0.500 0.755
In 0.000 0.500 0.118
In 0.000 0.500 0.627
Hg 0.000 0.000 0.500
In 0.000 0.500 0.373
In 0.000 0.500 0.882
In 0.500 0.500 0.000
In 0.500 0.500 0.500
In 0.500 0.000 0.118
Hg 0.000 0.000 0.246
In 0.500 0.000 0.882



The following is a DFT calculation (PBE-GGA) of ZnIn2Hg after structural relaxation.

Results
Energy of formation from the pure elements ... 0.08 eV per atom
Crystal system ... orthorhombic
Final energy ... -6.722 eV/cell
Excess energy over the best structure of this formula in the dataset ... 29 meV/atom

Unit cell a=4.595 b=4.641 c=4.538 alpha=90.00 beta=90.00 gamma=90.00
Positions (direct):
Zn 0.500 0.000 0.500
Hg 0.000 0.500 0.500
In 0.000 0.000 0.000
In 0.500 0.500 0.000



The following is a DFT calculation (PBE-GGA) of ZnIn2Hg after structural relaxation.

Results
Energy of formation from the pure elements ... 0.07 eV per atom
Crystal system ... monoclinic
Final energy ... -6.782 eV/cell
Excess energy over the best structure of this formula in the dataset ... 14 meV/atom

Unit cell a=3.225 b=5.684 c=5.780 alpha=108.29 beta=90.00 gamma=106.48
Positions (direct):
In 0.984 0.969 0.965
Zn 0.521 0.043 0.428
In 0.779 0.557 0.324
Hg 0.216 0.431 0.782